TaBiBr2 after structural relaxation. Source: Alexandria, functional GGA-PBE.

a b c (Å): 5.0513 5.0513 5.0513
angles (deg): 60.00 60.00 60.00
With the nearest neighbours (Å) after each atom.
Fractional coordinates of all 4 atoms:
Ta  0.0000  0.0000  0.0000  8 Br 3.09
Bi  0.5000  0.5000  0.5000  8 Br 3.09
Br  0.2500  0.2500  0.2500  4 Ta 3.09, 4 Bi 3.09
Br  0.7500  0.7500  0.7500  4 Ta 3.09, 4 Bi 3.09

Properties
final energy = -15.95 eV for the cell shown
relative energy among the computed polymorphs = 935 meV per atom
total magnetic moment = 0.00 μB per formula unit
formation energy without anion corrections = 0.78 eV/atom
SG = No. 225


TaBiBr3 after structural relaxation. Source: Alexandria, functional GGA-PBE.

a b c (Å): 5.2407 5.2407 5.2407
angles (deg): 90.00 90.00 90.00
With the nearest neighbours (Å) after each atom.
Fractional coordinates of all 5 atoms:
Ta  0.0000  0.0000  0.0000  6 Br 2.62
Bi  0.5000  0.5000  0.5000  12 Br 3.71
Br  0.0000  0.0000  0.5000  2 Ta 2.62
Br  0.0000  0.5000  0.0000  2 Ta 2.62
Br  0.5000  0.0000  0.0000  2 Ta 2.62

Properties
final energy = -19.47 eV for the cell shown
relative energy among the computed polymorphs = 0 meV per atom
total magnetic moment = 2.74 μB per formula unit
formation energy without anion corrections = 0.26 eV/atom
SG = No. 221


TaBiBr2 after structural relaxation. Source: Alexandria, functional GGA-PBE.

a b c (Å): 7.1526 7.1526 7.1526
angles (deg): 98.81 98.81 133.93
With the nearest neighbours (Å) after each atom.
Fractional coordinates of all 8 atoms:
Ta  0.0000  0.0000  0.0000  4 Br 2.67, 2 Bi 2.80
Ta  0.7500  0.2500  0.5000  4 Br 2.67, 2 Bi 2.80
Bi  0.2500  0.7500  0.5000  2 Ta 2.80
Bi  0.5000  0.5000  0.0000  2 Ta 2.80
Br  0.3750  0.0064  0.1314  2 Ta 2.67
Br  0.7564  0.6250  0.6314  2 Ta 2.67
Br  0.8750  0.2436  0.8686  2 Ta 2.67
Br  0.9936  0.1250  0.3686  2 Ta 2.67

Properties
final energy = -36.75 eV for the cell shown
relative energy among the computed polymorphs = 330 meV per atom
total magnetic moment = 0.21 μB per formula unit
formation energy without anion corrections = 0.18 eV/atom
SG = No. 122


What is the final energy in the second record?
-19.47 eV for the cell shown


Which value of final energy does entry 3 give?
-36.75 eV for the cell shown


Which of these has the lowest formation energy without anion corrections?
number 3


What did the second record say?
TaBiBr3 after structural relaxation. Source: Alexandria, functional GGA-PBE.

a b c (Å): 5.2407 5.2407 5.2407
angles (deg): 90.00 90.00 90.00
With the nearest neighbours (Å) after each atom.
Fractional coordinates of all 5 atoms:
Ta  0.0000  0.0000  0.0000  6 Br 2.62
Bi  0.5000  0.5000  0.5000  12 Br 3.71
Br  0.0000  0.0000  0.5000  2 Ta 2.62
Br  0.0000  0.5000  0.0000  2 Ta 2.62
Br  0.5000  0.0000  0.0000  2 Ta 2.62

Properties
final energy = -19.47 eV for the cell shown
relative energy among the computed polymorphs = 0 meV per atom
total magnetic moment = 2.74 μB per formula unit
formation energy without anion corrections = 0.26 eV/atom
SG = No. 221